DFT (PBE) results for PuZr2Pd after structural relaxation.

```
data_PuZr2Pd
_chemical_formula_sum 'Pu3 Zr6 Pd3'
_cell_length_a 3.1825
_cell_length_b 3.1825
_cell_length_c 29.3233
_cell_angle_alpha 90.00
_cell_angle_beta 90.00
_cell_angle_gamma 120.00
_symmetry_space_group_name_H-M 'R 3 m'
_symmetry_Int_Tables_number 160
_symmetry_space_group_name_Hall 'R 3 -2"'
loop_
_atom_site_label
_atom_site_fract_x
_atom_site_fract_y
_atom_site_fract_z
_atom_site_occupancy
Pu1 0.0000 0.0000 0.0000 1
Zr1 0.0000 0.0000 0.5773 1
Zr2 0.0000 0.0000 0.7579 1
Pd1 0.0000 0.0000 0.1683 1
```

Output
Energy relative to the elements ... -0.31 eV/f.u.
Magnetization ... 1.219 μB/atom
Polymorph energy (0 for the lowest one) ... 0.176 eV per atom
DOS at the Fermi energy ... 1.99 states/eV per atom
ρ ... 10.321 g/cm³

DFT (PBE) results for Na3NiH6 after structural relaxation.

```
data_Na3NiH6
_chemical_formula_sum 'Na18 Ni6 H36'
_cell_length_a 8.4621
_cell_length_b 8.4621
_cell_length_c 11.1388
_cell_angle_alpha 90.00
_cell_angle_beta 90.00
_cell_angle_gamma 120.00
_symmetry_space_group_name_H-M 'R -3 c'
_symmetry_Int_Tables_number 167
_symmetry_space_group_name_Hall '-R 3 2"c'
loop_
_atom_site_label
_atom_site_fract_x
_atom_site_fract_y
_atom_site_fract_z
_atom_site_occupancy
Na1 0.0000 0.3423 0.2500 1
Ni1 0.0000 0.0000 0.0000 1
H1 0.0190 0.1610 0.4169 1
```

Output
Uncorrected energy ... -3.106 eV/atom
Magnetization ... 0.000 μB/atom
DOS at the Fermi energy ... 0.30 states/eV per atom
ρ ... 1.929 g/cm³

DFT (PBE) results for TaPb2W2 after structural relaxation.

```
data_TaPb2W2
_chemical_formula_sum 'Ta2 Pb4 W4'
_cell_length_a 3.952
_cell_length_b 3.952
_cell_length_c 14.480
_cell_angle_alpha 90.00
_cell_angle_beta 90.00
_cell_angle_gamma 90.00
_symmetry_space_group_name_H-M 'I 4/m m m'
_symmetry_Int_Tables_number 139
_symmetry_space_group_name_Hall '-I 4 2'
loop_
_atom_site_label
_atom_site_fract_x
_atom_site_fract_y
_atom_site_fract_z
_atom_site_occupancy
Ta1 0.000 0.000 0.000 1
Pb1 0.000 0.500 0.250 1
W1 0.000 0.000 0.418 1
```

Output
Energy relative to the elements ... 6.22 eV/f.u.
Magnetization ... 0.000 μB/atom
Polymorph energy (0 for the lowest one) ... 0.213 eV per atom
DOS at the Fermi energy ... 0.40 states/eV per atom
ρ ... 14.144 g/cm³

DFT (PBE) results for LiMo2As after structural relaxation.

```
data_LiMo2As
_chemical_formula_sum 'Li2 Mo4 As2'
_cell_length_a 3.237
_cell_length_b 4.609
_cell_length_c 8.707
_cell_angle_alpha 90.00
_cell_angle_beta 90.00
_cell_angle_gamma 90.00
_symmetry_space_group_name_H-M 'C m m 2'
_symmetry_Int_Tables_number 35
loop_
_symmetry_equiv_pos_as_xyz
'x,y,z'
'-x,-y,z'
'-x,y,z'
'x,-y,z'
'x+1/2,y+1/2,z'
'-x+1/2,-y+1/2,z'
'-x+1/2,y+1/2,z'
'x+1/2,-y+1/2,z'
loop_
_atom_site_label
_atom_site_fract_x
_atom_site_fract_y
_atom_site_fract_z
_atom_site_occupancy
Li1 0.000 0.000 0.000 1
Mo1 0.000 0.000 0.491 1
Mo2 0.000 0.500 0.729 1
As1 0.000 0.500 0.247 1
```

Output
Energy relative to the elements ... 0.52 eV/f.u.
Magnetization ... 0.000 μB/atom
DOS at the Fermi energy ... 0.82 states/eV per atom
ρ ... 6.998 g/cm³

DFT (PBE) results for Ce5Bi2RuN after structural relaxation.

```
data_Ce5Bi2RuN
_chemical_formula_sum 'Ce5 Bi2 Ru1 N1'
_cell_length_a 4.632
_cell_length_b 4.632
_cell_length_c 11.555
_cell_angle_alpha 90.00
_cell_angle_beta 90.00
_cell_angle_gamma 90.00
_symmetry_space_group_name_H-M 'P 4/m m m'
_symmetry_Int_Tables_number 123
_symmetry_space_group_name_Hall '-P 4 2'
loop_
_atom_site_label
_atom_site_fract_x
_atom_site_fract_y
_atom_site_fract_z
_atom_site_occupancy
Ce1 0.000 0.000 0.000 1
Ce2 0.000 0.500 0.500 1
Ce3 0.500 0.500 0.218 1
Bi1 0.000 0.000 0.286 1
Ru1 0.500 0.500 0.000 1
N1 0.500 0.500 0.500 1
```

Output
Energy relative to the elements, uncorrected ... -0.657 eV per atom
Magnetization ... 0.511 μB/atom
DOS at the Fermi energy ... 2.91 states/eV per atom
ρ ... 8.262 g/cm³

DFT (PBE) results for BaLa2Au after structural relaxation.

```
data_BaLa2Au
_chemical_formula_sum 'Ba2 La4 Au2'
_cell_length_a 4.825
_cell_length_b 4.825
_cell_length_c 11.418
_cell_angle_alpha 90.00
_cell_angle_beta 90.00
_cell_angle_gamma 90.00
_symmetry_space_group_name_H-M 'I 4/m m m'
_symmetry_Int_Tables_number 139
_symmetry_space_group_name_Hall '-I 4 2'
loop_
_atom_site_label
_atom_site_fract_x
_atom_site_fract_y
_atom_site_fract_z
_atom_site_occupancy
Ba1 0.000 0.000 0.000 1
La1 0.000 0.500 0.250 1
Au1 0.000 0.000 0.500 1
```

Output
Energy relative to the elements ... -0.32 eV/f.u.
Magnetization ... 0.001 μB/atom
Polymorph energy (0 for the lowest one) ... 0.243 eV per atom
DOS at the Fermi energy ... 1.58 states/eV per atom
ρ ... 7.649 g/cm³